Entry 1:
Material: Pm6HoEr2Mg
Method: DFT, GGA-PBE
State: relaxed

POSCAR file:
```
Pm6HoEr2Mg
1.0
-2.726 -8.684 -1.898
1.580 -1.919 8.542
-7.979 3.386 -2.003
Pm Ho Er Mg
12 2 4 2
direct
0.052 0.128 0.776
0.448 0.224 0.872
0.948 0.872 0.224
0.552 0.776 0.128
0.302 0.004 0.436
0.198 0.564 0.996
0.698 0.996 0.564
0.802 0.436 0.004
0.106 0.714 0.495
0.394 0.505 0.286
0.894 0.286 0.505
0.606 0.495 0.714
0.250 0.974 0.026
0.750 0.026 0.974
0.449 0.795 0.691
0.051 0.309 0.205
0.551 0.205 0.309
0.949 0.691 0.795
0.250 0.418 0.582
0.750 0.582 0.418
```

DFT formation energy (eV per atom): 0.12
Calculated density (Mg/m³): 7.1
M_tot (μB/cell): 0.0
Calculated volume (Å³/cell): 651.7
Space-group type: C2/c, No. 15

Entry 2:
Material: Tb5Pm2NdHo
Method: DFT, GGA-PBE
State: relaxed

POSCAR file:
```
Tb5Pm2NdHo
1.0
-1.632 7.169 4.761
-8.219 -2.735 1.302
7.187 -5.961 3.380
Tb Pm Nd Ho
10 4 2 2
direct
0.928 0.428 0.275
0.653 0.153 0.725
0.072 0.572 0.725
0.153 0.072 0.725
0.572 0.653 0.725
0.847 0.928 0.275
0.428 0.347 0.275
0.347 0.847 0.275
0.500 0.500 0.000
0.000 0.000 0.000
0.117 0.383 0.000
0.617 0.117 0.000
0.383 0.883 0.000
0.883 0.617 0.000
0.250 0.250 0.500
0.750 0.750 0.500
0.250 0.750 0.500
0.750 0.250 0.500
```

DFT formation energy (eV per atom): 0.27
Calculated density (Mg/m³): 7.8
M_tot (μB/cell): 0.0
Calculated volume (Å³/cell): 595.5
Space-group type: I4/mcm, No. 140

Entry 3:
Material: B5C7
Method: DFT, GGA-PBE
State: relaxed

POSCAR file:
```
B5C7
1.0
2.503 0.000 0.000
0.000 4.853 -0.330
0.000 -0.463 6.449
B C
5 7
direct
0.500 0.820 0.315
0.500 0.439 0.246
0.500 0.564 0.017
0.500 0.186 0.926
0.000 0.656 0.669
0.000 0.319 0.584
0.000 0.290 0.348
0.000 0.002 0.238
0.000 0.999 0.009
0.000 0.707 0.914
0.500 0.171 0.665
0.500 0.847 0.568
```

DFT formation energy (eV per atom): 0.36
Calculated density (Mg/m³): 2.9
M_tot (μB/cell): 0.0
Calculated volume (Å³/cell): 77.9
Space-group type: Pm, No. 6

Entry 4:
Material: Ac6RuN2
Method: DFT, GGA-PBE
State: relaxed

POSCAR file:
```
Ac6RuN2
1.0
-3.530 1.269 -2.017
-5.421 -5.893 1.284
-7.187 0.972 8.694
Ac Ru N
6 1 2
direct
0.698 0.713 0.890
0.302 0.287 0.110
0.029 0.749 0.193
0.371 0.739 0.519
0.971 0.251 0.807
0.629 0.261 0.481
0.000 0.500 0.500
0.168 0.640 0.023
0.832 0.360 0.977
```

Calculated density (Mg/m³): 7.5
ΔE_f (raw) (eV/atom): -0.5490
M_tot (μB/cell): 0.0
Calculated volume (Å³/cell): 329.4
Space-group type: C2/m, No. 12

Please write out number 1 again, unchanged.
Material: Pm6HoEr2Mg
Method: DFT, GGA-PBE
State: relaxed

POSCAR file:
```
Pm6HoEr2Mg
1.0
-2.726 -8.684 -1.898
1.580 -1.919 8.542
-7.979 3.386 -2.003
Pm Ho Er Mg
12 2 4 2
direct
0.052 0.128 0.776
0.448 0.224 0.872
0.948 0.872 0.224
0.552 0.776 0.128
0.302 0.004 0.436
0.198 0.564 0.996
0.698 0.996 0.564
0.802 0.436 0.004
0.106 0.714 0.495
0.394 0.505 0.286
0.894 0.286 0.505
0.606 0.495 0.714
0.250 0.974 0.026
0.750 0.026 0.974
0.449 0.795 0.691
0.051 0.309 0.205
0.551 0.205 0.309
0.949 0.691 0.795
0.250 0.418 0.582
0.750 0.582 0.418
```

DFT formation energy (eV per atom): 0.12
Calculated density (Mg/m³): 7.1
M_tot (μB/cell): 0.0
Calculated volume (Å³/cell): 651.7
Space-group type: C2/c, No. 15

Q: What is the formula in the third record?
A: B5C7